A plane-wave DFT calculation with PBE with a Hubbard U was carried out for a geometry-optimized KTl2Ni2F7 structure.

Geometry as CIF:
```
data_KTl2Ni2F7
_cell_length_a 4.094
_cell_length_b 4.094
_cell_length_c 22.418
_cell_angle_alpha 90.00
_cell_angle_beta 90.00
_cell_angle_gamma 90.00
_symmetry_space_group_name_H-M 'I 4/m m m'
_symmetry_Int_Tables_number 139
_symmetry_space_group_name_Hall '-I 4 2'
loop_
_atom_site_label
_atom_site_fract_x
_atom_site_fract_y
_atom_site_fract_z
K1 0.000 0.000 0.000
Tl1 0.000 0.000 0.185
Ni1 0.000 0.000 0.409
F1 0.000 0.000 0.319
F2 0.000 0.000 0.500
F3 0.000 0.500 0.090
```

## Properties
raw total energy	-4.18	eV/atom
ρ	6.17	g/cm³